[1]
Nd5GeAs4 | Alexandria via LeMat-Bulk | PBE-GGA | relaxed; calculated density = 6.57 Mg/m³; formation energy = -1.33 eV per atom
1.0
-4.780 4.780 3.022
4.780 -4.780 3.022
4.780 4.780 -3.022
Nd Ge As
5 1 4
Cartesian
0.000 0.000 0.000
3.806 1.884 0.000
2.896 -0.974 3.022
1.884 5.754 0.000
0.974 2.896 3.022
0.000 0.000 3.022
6.688 0.953 0.000
0.953 2.872 0.000
3.827 1.908 3.022
-1.908 3.827 3.022


[2]
Nd10Ge3As3 | Alexandria via LeMat-Bulk | PBE-GGA | relaxed; calculated density = 7.05 Mg/m³; formation energy = -0.90 eV per atom
1.0
8.890 0.000 0.000
-4.445 7.699 0.000
0.000 0.000 6.485
Nd Ge As
10 3 3
Cartesian
-1.106 1.915 0.000
-3.335 5.776 3.242
2.212 0.000 0.000
1.110 1.922 3.242
0.000 5.133 1.612
0.000 5.133 4.873
4.445 2.566 1.612
4.445 2.566 4.873
6.670 0.000 3.242
3.339 5.783 0.000
-1.723 2.985 3.242
3.447 0.000 3.242
2.722 4.714 3.242
-2.737 4.741 0.000
1.708 2.958 0.000
5.474 0.000 0.000


[3]
Nd4Ge2As | Alexandria via LeMat-Bulk | PBE-GGA | relaxed; calculated density = 6.95 Mg/m³; formation energy = -0.97 eV per atom
1.0
-4.570 4.570 4.558
4.570 -4.570 4.558
4.570 4.570 -4.558
Nd Ge As
8 4 2
Cartesian
2.880 3.959 -2.818
5.181 1.690 -0.539
1.690 0.611 1.740
1.690 3.959 0.539
5.181 2.880 2.818
2.880 0.611 5.097
-0.611 2.880 4.019
-0.611 1.690 7.375
2.285 1.147 -1.139
3.423 -2.285 5.697
2.285 3.423 3.418
1.147 6.856 1.139
4.570 0.000 2.279
0.000 0.000 4.558


[4]
Nd2Ni4GeAs3 | Alexandria via LeMat-Bulk | PBE-GGA | relaxed; calculated density = 8.13 Mg/m³; formation energy = -0.81 eV per atom
1.0
4.158 0.000 0.000
0.000 4.158 0.000
0.000 0.000 9.698
Nd Ni Ge As
2 4 1 3
Cartesian
0.000 2.079 2.392
2.079 0.000 7.307
0.000 0.000 0.000
0.000 2.079 6.048
2.079 0.000 3.650
2.079 2.079 0.000
0.000 0.000 4.849
0.000 2.079 8.435
2.079 0.000 1.263
2.079 2.079 4.849


[5]
Nd6GeAs3P2 | Alexandria via LeMat-Bulk | PBE-GGA | relaxed; calculated density = 6.29 Mg/m³; formation energy = -1.37 eV per atom
1.0
9.215 -2.116 0.000
9.215 2.116 0.000
-1.907 0.000 8.287
Nd Ge As P
6 1 3 2
Cartesian
-0.445 0.000 2.116
5.300 0.000 3.483
4.376 0.000 7.538
12.148 0.000 0.748
11.223 0.000 4.803
16.968 0.000 6.170
9.215 0.000 0.000
1.476 0.000 6.907
8.262 0.000 4.143
15.047 0.000 1.380
2.446 0.000 2.776
14.078 0.000 5.511


[6]
Nd2Ge3AsPd4 | Alexandria via LeMat-Bulk | PBE-GGA | relaxed; calculated density = 8.58 Mg/m³; formation energy = -0.82 eV per atom
1.0
4.396 0.000 0.000
0.000 4.396 0.000
0.000 0.000 10.078
Nd Ge As Pd
2 3 1 4
Cartesian
0.000 2.198 2.508
2.198 0.000 7.570
0.000 0.000 0.000
0.000 2.198 6.328
2.198 0.000 3.750
2.198 2.198 0.000
0.000 0.000 5.039
0.000 2.198 8.794
2.198 0.000 1.284
2.198 2.198 5.039


[7]
Nd3GeAs2Pd9 | Alexandria via LeMat-Bulk | PBE-GGA | relaxed; calculated density = 8.38 Mg/m³; formation energy = -0.58 eV per atom
1.0
6.602 0.000 0.000
-3.301 5.717 0.000
0.000 0.000 8.468
Nd Ge As Pd
3 1 2 9
Cartesian
0.000 0.000 0.000
0.000 3.812 5.724
3.301 1.906 2.743
0.000 0.000 4.234
0.000 3.812 1.559
3.301 1.906 6.909
-1.650 2.859 0.000
0.000 1.639 2.447
-1.881 4.898 2.447
1.419 0.820 6.021
3.301 0.000 0.000
1.650 2.859 0.000
1.881 4.898 2.447
5.182 0.820 6.021
3.301 4.078 6.021


[8]
Nd2GeAs3Pd4 | Alexandria via LeMat-Bulk | PBE-GGA | relaxed; calculated density = 8.62 Mg/m³; formation energy = -0.87 eV per atom
1.0
4.320 0.000 0.000
0.000 4.320 0.000
0.000 0.000 10.439
Nd Ge As Pd
2 1 3 4
Cartesian
0.000 2.160 2.560
2.160 0.000 7.880
0.000 0.000 5.220
0.000 2.160 9.028
2.160 0.000 1.411
2.160 2.160 5.220
0.000 0.000 0.000
0.000 2.160 6.572
2.160 0.000 3.868
2.160 2.160 0.000


[9]
Nd2Ge3AsPt4 | Alexandria via LeMat-Bulk | PBE-GGA | relaxed; calculated density = 11.56 Mg/m³; formation energy = -0.91 eV per atom
1.0
4.428 0.000 0.000
0.000 4.428 0.000
0.000 0.000 9.981
Nd Ge As Pt
2 3 1 4
Cartesian
0.000 2.214 2.489
2.214 0.000 7.492
0.000 2.214 8.699
2.214 0.000 1.282
2.214 2.214 4.991
0.000 0.000 4.991
0.000 0.000 0.000
0.000 2.214 6.237
2.214 0.000 3.744
2.214 2.214 0.000


[10]
Nd2GeAsRh6 | Alexandria via LeMat-Bulk | PBE-GGA | relaxed; calculated density = 9.09 Mg/m³; formation energy = -0.58 eV per atom
1.0
5.467 0.000 0.000
0.000 8.690 0.000
0.000 0.000 8.103
Nd Ge As Rh
4 2 2 12
Cartesian
1.367 0.073 1.747
1.367 4.273 1.747
4.100 4.418 6.355
4.100 8.618 6.355
1.367 6.518 6.164
4.100 2.173 1.939
1.367 2.173 6.061
4.100 6.518 2.042
0.010 6.518 4.092
0.025 6.518 0.090
1.367 0.003 4.783
1.367 4.343 4.783
2.709 6.518 0.090
2.723 6.518 4.092
2.744 2.173 4.011
2.758 2.173 8.012
4.100 8.688 3.320
4.100 4.348 3.320
5.442 2.173 8.012
5.456 2.173 4.011


[11]
Nd3GeAs2Rh8 | Alexandria via LeMat-Bulk | PBE-GGA | relaxed; calculated density = 9.75 Mg/m³; formation energy = -0.61 eV per atom
1.0
5.477 0.000 0.000
-2.739 4.744 0.000
0.000 0.000 9.695
Nd Ge As Rh
3 1 2 8
Cartesian
0.000 0.000 0.000
0.000 3.162 5.449
2.739 1.581 4.246
0.000 0.000 4.847
0.000 3.162 0.905
2.739 1.581 8.790
0.000 1.549 2.728
-1.397 3.969 2.728
1.342 0.775 6.966
0.000 3.162 8.215
2.739 1.581 1.480
1.397 3.969 2.728
4.136 0.775 6.966
2.739 3.194 6.966


[12]
Nd3GeAs2Rh9 | Alexandria via LeMat-Bulk | PBE-GGA | relaxed; calculated density = 8.65 Mg/m³; formation energy = -0.46 eV per atom
1.0
6.331 0.000 0.000
-3.166 5.483 0.000
0.000 0.000 8.749
Nd Ge As Rh
3 1 2 9
Cartesian
0.000 0.000 0.000
0.000 3.655 6.120
3.166 1.828 2.629
0.000 0.000 4.375
0.000 3.655 1.553
3.166 1.828 7.197
-1.583 2.742 0.000
0.000 1.566 2.492
-1.809 4.700 2.492
1.357 0.783 6.257
3.166 0.000 0.000
1.583 2.742 0.000
1.809 4.700 2.492
4.975 0.783 6.257
3.166 3.917 6.257